(1)
Compound: KGa2ReOs
Source: Alexandria via LeMat-Bulk
Functional: meta-GGA SCAN
Structure: single point on PBEsol structure

Calculated values
Uncorrected energy (eV/atom): -36.19

Lattice parameters (Å, degrees): 4.917 4.917 4.726 90.00 90.00 90.00
Space group P4/mmm (No. 123)
Asymmetric unit:
K1 0.000 0.000 0.000 [1 per cell]
Ga1 0.000 0.500 0.500 [2 per cell]
Re1 0.500 0.500 0.500 [1 per cell]
Os1 0.500 0.500 0.000 [1 per cell]

(2)
Compound: K2GaP
Source: Alexandria via LeMat-Bulk
Functional: meta-GGA SCAN
Structure: single point on PBEsol structure

Calculated values
Uncorrected energy (eV/atom): -10.50

Lattice parameters (Å, degrees): 4.577 4.577 21.799 90.00 90.00 90.00
Space group I-42d (No. 122)
Asymmetric unit:
K1 0.240 0.250 0.125 [8 per cell]
Ga1 0.000 0.000 0.500 [4 per cell]
P1 0.000 0.000 0.000 [4 per cell]

(3)
Compound: KGa2P2
Source: Alexandria via LeMat-Bulk
Functional: meta-GGA SCAN
Structure: single point on PBEsol structure

Calculated values
Uncorrected energy (eV/atom): -12.72

Lattice parameters (Å, degrees): 4.204 4.204 13.144 90.00 90.00 90.00
Space group I4/mmm (No. 139)
Asymmetric unit:
K1 0.000 0.000 0.000 [2 per cell]
Ga1 0.000 0.500 0.250 [4 per cell]
P1 0.000 0.000 0.349 [4 per cell]

(4)
Compound: KGa2SiP
Source: Alexandria via LeMat-Bulk
Functional: meta-GGA SCAN
Structure: single point on PBEsol structure

Calculated values
Energy relative to the elements, uncorrected (eV/atom): 1.875

Lattice parameters (Å, degrees): 5.331 5.331 5.359 90.00 90.00 90.00
Space group P4/mmm (No. 123)
Asymmetric unit:
K1 0.000 0.000 0.000 [1 per cell]
Ga1 0.000 0.500 0.000 [2 per cell]
Si1 0.000 0.000 0.500 [1 per cell]
P1 0.500 0.500 0.500 [1 per cell]

(5)
Compound: K3GaPb
Source: Alexandria via LeMat-Bulk
Functional: meta-GGA SCAN
Structure: single point on PBEsol structure

Calculated values
Uncorrected energy (eV/atom): -23.07

Lattice parameters (Å, degrees): 6.667 6.667 6.667 90.00 90.00 90.00
Space group Pm-3m (No. 221)
Asymmetric unit:
K1 0.000 0.000 0.500 [3 per cell]
Ga1 0.500 0.500 0.500 [1 per cell]
Pb1 0.000 0.000 0.000 [1 per cell]

(6)
Compound: KGaRu2Pb
Source: Alexandria via LeMat-Bulk
Functional: meta-GGA SCAN
Structure: single point on PBEsol structure

Calculated values
Uncorrected energy (eV/atom): -31.55

Lattice parameters (Å, degrees): 4.575 4.575 5.492 90.00 90.00 90.00
Space group P4/mmm (No. 123)
Asymmetric unit:
K1 0.000 0.000 0.000 [1 per cell]
Ga1 0.500 0.500 0.500 [1 per cell]
Ru1 0.000 0.500 0.000 [2 per cell]
Pb1 0.000 0.000 0.500 [1 per cell]

(7)
Compound: K2GaPt2
Source: Alexandria via LeMat-Bulk
Functional: meta-GGA SCAN
Structure: single point on PBEsol structure

Calculated values
Uncorrected energy (eV/atom): -35.04

Lattice parameters (Å, degrees): 6.393 6.393 5.511 90.00 90.00 90.00
Space group P4/mbm (No. 127)
Asymmetric unit:
K1 0.175 0.325 0.000 [4 per cell]
Ga1 0.000 0.000 0.500 [2 per cell]
Pt1 0.142 0.642 0.500 [4 per cell]

(8)
Compound: KGa3Re
Source: Alexandria via LeMat-Bulk
Functional: meta-GGA SCAN
Structure: single point on PBEsol structure

Calculated values
Uncorrected energy (eV/atom): -25.86

Lattice parameters (Å, degrees): 4.862 4.862 4.862 90.00 90.00 90.00
Space group Pm-3m (No. 221)
Asymmetric unit:
K1 0.000 0.000 0.000 [1 per cell]
Ga1 0.000 0.500 0.500 [3 per cell]
Re1 0.500 0.500 0.500 [1 per cell]

(9)
Compound: KGa3Rh
Source: Alexandria via LeMat-Bulk
Functional: meta-GGA SCAN
Structure: single point on PBEsol structure

Calculated values
E above lowest polymorph (eV/atom): 0.000

Lattice parameters (Å, degrees): 4.799 4.799 4.799 90.00 90.00 90.00
Space group Pm-3m (No. 221)
Asymmetric unit:
K1 0.000 0.000 0.000 [1 per cell]
Ga1 0.000 0.500 0.500 [3 per cell]
Rh1 0.500 0.500 0.500 [1 per cell]

(10)
Compound: KGa3Rh
Source: Alexandria via LeMat-Bulk
Functional: meta-GGA SCAN
Structure: single point on PBEsol structure

Calculated values
E above lowest polymorph (eV/atom): 2.205

Lattice parameters (Å, degrees): 5.130 5.130 5.130 90.00 90.00 90.00
Space group Pm-3m (No. 221)
Asymmetric unit:
K1 0.000 0.000 0.000 [1 per cell]
Ga1 0.000 0.000 0.500 [3 per cell]
Rh1 0.500 0.500 0.500 [1 per cell]

(11)
Compound: KSrGa2Rh
Source: Alexandria via LeMat-Bulk
Functional: meta-GGA SCAN
Structure: single point on PBEsol structure

Calculated values
Uncorrected energy (eV/atom): -19.74

Lattice parameters (Å, degrees): 4.891 4.891 5.501 90.00 90.00 90.00
Space group P4/mmm (No. 123)
Asymmetric unit:
K1 0.000 0.000 0.000 [1 per cell]
Sr1 0.500 0.500 0.000 [1 per cell]
Ga1 0.000 0.500 0.500 [2 per cell]
Rh1 0.500 0.500 0.500 [1 per cell]

(12)
Compound: KGa3Ru
Source: Alexandria via LeMat-Bulk
Functional: meta-GGA SCAN
Structure: single point on PBEsol structure

Calculated values
Uncorrected energy (eV/atom): -18.83

Lattice parameters (Å, degrees): 4.795 4.795 4.795 90.00 90.00 90.00
Space group Pm-3m (No. 221)
Asymmetric unit:
K1 0.000 0.000 0.000 [1 per cell]
Ga1 0.000 0.500 0.500 [3 per cell]
Ru1 0.500 0.500 0.500 [1 per cell]

| no. | N(E_F) (states/eV per atom) |
| --- | --- |
| 1 | 0.33 |
| 2 | 0.76 |
| 3 | 0.13 |
| 4 | 0.57 |
| 5 | 0.69 |
| 6 | 0.88 |
| 7 | 0.33 |
| 8 | 0.43 |
| 9 | 0.66 |
| 10 | 0.73 |
| 11 | 0.46 |
| 12 | 0.12 |